## Ag3HgCl (meta-GGA SCAN)

Data for a crystal of Ag3HgCl relaxed with PBEsol.

Cell and atoms, written as CIF:
```
data_Ag3HgCl
_chemical_formula_sum 'Ag3 Hg1 Cl1'
_symmetry_space_group_name_H-M 'P m -3 m'
_symmetry_Int_Tables_number 221
_symmetry_space_group_name_Hall '-P 4 2 3'
_cell_length_a 4.8918
_cell_length_b 4.8918
_cell_length_c 4.8918
_cell_angle_alpha 90.00
_cell_angle_beta 90.00
_cell_angle_gamma 90.00
loop_
_atom_site_label
_atom_site_fract_x
_atom_site_fract_y
_atom_site_fract_z
_atom_site_occupancy
Ag1 0.0000 0.0000 0.5000 1
Hg1 0.5000 0.5000 0.5000 1
Cl1 0.0000 0.0000 0.0000 1
```

Computed properties:
ΔE_f (raw) in eV per atom: 0.467
ρ in kg/m3: 7939
E in eV per cell: -167.91

## AgHg2Cl (meta-GGA SCAN)

Data for a crystal of AgHg2Cl relaxed with PBEsol.

Cell and atoms, written as CIF:
```
data_AgHg2Cl
_chemical_formula_sum 'Ag3 Hg6 Cl3'
_symmetry_space_group_name_H-M 'R -3 m'
_symmetry_Int_Tables_number 166
_symmetry_space_group_name_Hall '-R 3 2"'
_cell_length_a 3.5194
_cell_length_b 3.5194
_cell_length_c 24.3693
_cell_angle_alpha 90.00
_cell_angle_beta 90.00
_cell_angle_gamma 120.00
loop_
_atom_site_label
_atom_site_fract_x
_atom_site_fract_y
_atom_site_fract_z
_atom_site_occupancy
Ag1 0.0000 0.0000 0.0000 1
Hg1 0.0000 0.0000 0.2526 1
Cl1 0.0000 0.0000 0.5000 1
```

Computed properties:
ΔE_f (raw) in eV per atom: -0.235
Polymorph energy (0 for the lowest one) in eV/atom: 0.0223
ρ in kg/m3: 10377
E in eV per cell: -529.85

## AgHg2Cl (meta-GGA SCAN)

Data for a crystal of AgHg2Cl relaxed with PBEsol.

Cell and atoms, written as CIF:
```
data_AgHg2Cl
_chemical_formula_sum 'Ag4 Hg8 Cl4'
_symmetry_space_group_name_H-M 'I -4 2 d'
_symmetry_Int_Tables_number 122
_symmetry_space_group_name_Hall 'I -4 2bw'
_cell_length_a 8.9729
_cell_length_b 8.9729
_cell_length_c 5.1002
_cell_angle_alpha 90.00
_cell_angle_beta 90.00
_cell_angle_gamma 90.00
loop_
_atom_site_label
_atom_site_fract_x
_atom_site_fract_y
_atom_site_fract_z
_atom_site_occupancy
Ag1 0.0000 0.0000 0.0000 1
Hg1 0.1785 0.2500 0.1250 1
Cl1 0.0000 0.0000 0.5000 1
```

Computed properties:
ΔE_f (raw) in eV per atom: -0.215
Polymorph energy (0 for the lowest one) in eV/atom: 0.0426
ρ in kg/m3: 8807
E in eV per cell: -706.14

## AgHg2Cl (meta-GGA SCAN)

Data for a crystal of AgHg2Cl relaxed with PBEsol.

Cell and atoms, written as CIF:
```
data_AgHg2Cl
_chemical_formula_sum 'Ag1 Hg2 Cl1'
_symmetry_space_group_name_H-M 'P 4/m m m'
_symmetry_Int_Tables_number 123
_symmetry_space_group_name_Hall '-P 4 2'
_cell_length_a 3.9921
_cell_length_b 3.9921
_cell_length_c 5.5215
_cell_angle_alpha 90.00
_cell_angle_beta 90.00
_cell_angle_gamma 90.00
loop_
_atom_site_label
_atom_site_fract_x
_atom_site_fract_y
_atom_site_fract_z
_atom_site_occupancy
Ag1 0.0000 0.0000 0.0000 1
Hg1 0.0000 0.5000 0.5000 1
Cl1 0.5000 0.5000 0.0000 1
```

Computed properties:
ΔE_f (raw) in eV per atom: -0.146
Polymorph energy (0 for the lowest one) in eV/atom: 0.1107
ρ in kg/m3: 10275
E in eV per cell: -176.26

## AgHg2Cl (meta-GGA SCAN)

Data for a crystal of AgHg2Cl relaxed with PBEsol.

Cell and atoms, written as CIF:
```
data_AgHg2Cl
_chemical_formula_sum 'Ag4 Hg8 Cl4'
_symmetry_space_group_name_H-M 'F m -3 m'
_symmetry_Int_Tables_number 225
_symmetry_space_group_name_Hall '-F 4 2 3'
_cell_length_a 7.0717
_cell_length_b 7.0717
_cell_length_c 7.0717
_cell_angle_alpha 90.00
_cell_angle_beta 90.00
_cell_angle_gamma 90.00
loop_
_atom_site_label
_atom_site_fract_x
_atom_site_fract_y
_atom_site_fract_z
_atom_site_occupancy
Ag1 0.0000 0.0000 0.0000 1
Hg1 0.2500 0.2500 0.2500 1
Cl1 0.0000 0.0000 0.5000 1
```

Computed properties:
ΔE_f (raw) in eV per atom: 0.070
Polymorph energy (0 for the lowest one) in eV/atom: 0.3270
ρ in kg/m3: 10227
E in eV per cell: -701.59

## AgHgS2Cl (meta-GGA SCAN)

Data for a crystal of AgHgS2Cl relaxed with PBEsol.

Cell and atoms, written as CIF:
```
data_AgHgS2Cl
_chemical_formula_sum 'Ag1 Hg1 S2 Cl1'
_symmetry_space_group_name_H-M 'P 4/m m m'
_symmetry_Int_Tables_number 123
_symmetry_space_group_name_Hall '-P 4 2'
_cell_length_a 4.8859
_cell_length_b 4.8859
_cell_length_c 5.1762
_cell_angle_alpha 90.00
_cell_angle_beta 90.00
_cell_angle_gamma 90.00
loop_
_atom_site_label
_atom_site_fract_x
_atom_site_fract_y
_atom_site_fract_z
_atom_site_occupancy
Ag1 0.0000 0.0000 0.0000 1
Hg1 0.5000 0.5000 0.5000 1
S1 0.0000 0.5000 0.5000 1
Cl1 0.5000 0.5000 0.0000 1
```

Computed properties:
ΔE_f (raw) in eV per atom: 0.574
ρ in kg/m3: 5483
E in eV per cell: -123.90